1.
Entry from Alexandria: an optimized crystal structure of Y2ScCl (PBE).

Output
ΔE_f (raw) = -0.507 eV/atom

Lattice parameters (Å, degrees): 3.390 3.390 9.148 90.00 90.00 90.00
Fractional coordinates of all 4 atoms:
Cl  0.500  0.500  0.250
Sc  0.500  0.500  0.750
Y  0.000  0.000  0.012
Y  0.000  0.000  0.488

---

2.
Entry from Alexandria: an optimized crystal structure of Y3ScCl (PBE).

Output
ΔE_f (raw) = 0.533 eV/atom

Lattice parameters (Å, degrees): 5.642 5.642 5.642 90.00 90.00 90.00
Fractional coordinates of all 5 atoms:
Y  0.000  0.500  0.000
Y  0.000  0.000  0.500
Y  0.500  0.000  0.000
Sc  0.000  0.000  0.000
Cl  0.500  0.500  0.500